1.
MgTlSnBi after structural relaxation, computed with GGA-PBE.

The space group is F-43m (No. 216) and the conventional cell measures 7.6884, 7.6884 and 7.6884 Å, with angles of 90.00, 90.00 and 90.00 degrees. Symmetry generates all atoms from Mg at (0.0000, 0.0000, 0.0000), Tl at (0.2500, 0.2500, 0.2500), Sn at (0.0000, 0.0000, 0.5000) and Bi at (0.2500, 0.2500, 0.7500).

As for the total DFT energy (no corrections): -0.1074 hartree per atom. The crystal system is cubic. The value obtained for the energy of formation is 0.038 eV/atom. The calculation puts the spin magnetization at 0.0 μB per formula unit. The value obtained for the energy above the most stable polymorph in this dataset is 102 meV per atom.

2.
BaTaSeS2 after structural relaxation, computed with GGA-PBE.

The space group is P4/mmm (No. 123) and the conventional cell measures 4.8703, 4.8703 and 5.1754 Å, with angles of 90.00, 90.00 and 90.00 degrees. Symmetry generates all atoms from Ba at (0.0000, 0.0000, 0.0000), Ta at (0.5000, 0.5000, 0.5000), Se at (0.5000, 0.5000, 0.0000) and S at (0.0000, 0.5000, 0.5000).

For the energy relative to the elements, uncorrected, the calculation gives -1.328 eV/atom. As for the total DFT energy (no corrections): -0.2363 hartree per atom. The crystal system is tetragonal. The calculation puts the spin magnetization at 0.0 μB per formula unit.

3.
Ta3BeIn after structural relaxation, computed with GGA-PBE.

The space group is Pm-3m (No. 221) and the conventional cell measures 4.9722, 4.9722 and 4.9722 Å, with angles of 90.00, 90.00 and 90.00 degrees. Symmetry generates all atoms from Ta at (0.0000, 0.0000, 0.5000), Be at (0.5000, 0.5000, 0.5000) and In at (0.0000, 0.0000, 0.0000).

As for the total DFT energy (no corrections): -0.2184 hartree per atom. The crystal system is cubic. The value obtained for the energy of formation is 2.460 eV/atom. The calculation puts the spin magnetization at 0.0 μB per formula unit. The value obtained for the energy above the most stable polymorph in this dataset is 2046 meV per atom.